1.
DFT (PBE) results for crystalline Tb5Sm4In at its relaxed geometry.

Lattice parameters (Å, degrees): 5.860 8.105 8.105 82.49 68.81 68.81
Fractional coordinates of all 10 atoms:
Sm1 0.459 0.688 0.312
In1 0.185 0.000 0.000
Tb1 0.770 0.371 0.000
Tb2 0.140 0.000 0.629
Sm2 0.459 0.312 0.688
Tb3 0.770 0.000 0.371
Sm3 0.772 0.688 0.688
Tb4 0.140 0.629 0.000
Tb5 0.668 0.000 0.000
Sm4 0.147 0.312 0.312

Properties
Total DFT energy (no corrections) = -4.38 eV/atom
V = 33.47 A^3/atom

=====

2.
DFT (PBE) results for crystalline EuMgTlAg at its relaxed geometry.

Lattice parameters (Å, degrees): 5.213 5.213 5.213 60.00 60.00 60.00
Site moments in Bohr magnetons follow the coordinates.
Fractional coordinates of all 4 atoms:
Tl1 0.750 0.750 0.750  0.01
Mg1 0.500 0.500 0.500  0.00
Eu1 0.000 0.000 0.000  6.80
Ag1 0.250 0.250 0.250  0.01

Properties
Total DFT energy (no corrections) = -4.53 eV/atom
V = 25.05 A^3/atom

=====

3.
DFT (PBE) results for crystalline MnAu2Se at its relaxed geometry.

Lattice parameters (Å, degrees): 6.318 6.318 6.318 148.28 144.56 48.29
Site moments in Bohr magnetons follow the coordinates.
Fractional coordinates of all 4 atoms:
Mn1 0.250 0.750 0.500  3.92
Au1 0.052 0.052 0.000  0.02
Se1 0.750 0.250 0.500  0.04
Au2 0.448 0.448 0.000  0.02

Properties
Total DFT energy (no corrections) = -4.75 eV/atom
V = 19.14 A^3/atom
ΔE_f (raw) = 0.201 eV per formula unit

=====

4.
DFT (PBE) results for crystalline MnCoAg2As at its relaxed geometry.

Lattice parameters (Å, degrees): 4.865 4.327 4.865 90.00 90.00 90.00
Site moments in Bohr magnetons follow the coordinates.
Fractional coordinates of all 5 atoms:
Co1 0.000 0.500 0.000  -0.59
Ag1 0.500 0.000 0.000  0.01
Ag2 0.000 0.000 0.500  0.01
Mn1 0.500 0.500 0.500  4.32
As1 0.000 0.000 0.000  0.03

Properties
Total DFT energy (no corrections) = -4.59 eV/atom
V = 20.49 A^3/atom

=====

5.
DFT (PBE) results for crystalline MnAgSe2 at its relaxed geometry.

Lattice parameters (Å, degrees): 6.660 3.472 7.901 74.01 96.44 90.66
Site moments in Bohr magnetons follow the coordinates.
Fractional coordinates of all 8 atoms:
Se1 0.886 0.157 0.177  -0.11
Se2 0.827 0.908 0.752  -0.08
Se3 0.365 0.461 0.442  -0.01
Se4 0.303 0.830 0.922  -0.10
Ag1 0.494 0.123 0.200  0.00
Mn1 0.133 0.658 0.180  2.25
Ag2 0.067 0.816 0.533  0.00
Mn2 0.038 0.329 0.908  1.89

Properties
Total DFT energy (no corrections) = -4.92 eV/atom
V = 21.81 A^3/atom
ΔE_f (raw) = -0.672 eV per formula unit

=====

6.
DFT (PBE) results for crystalline Sm2Y3Ho2 at its relaxed geometry.

Lattice parameters (Å, degrees): 3.510 8.581 8.942 118.68 101.32 90.00
Fractional coordinates of all 7 atoms:
Sm1 0.434 0.088 0.868
Y1 0.788 0.201 0.576
Ho1 0.851 0.670 0.703
Sm2 0.566 0.912 0.132
Ho2 0.149 0.330 0.297
Y2 0.000 0.500 0.000
Y3 0.212 0.799 0.424

Properties
Total DFT energy (no corrections) = -5.30 eV/atom
V = 32.90 A^3/atom

=====

7.
DFT (PBE) results for crystalline InSiOs2 at its relaxed geometry.

Lattice parameters (Å, degrees): 3.006 4.996 4.249 90.00 90.00 90.00
Fractional coordinates of all 4 atoms:
Os1 0.000 0.000 0.000
Os2 0.500 0.500 0.000
Si1 0.500 0.000 0.500
In1 0.000 0.500 0.500

Properties
Total DFT energy (no corrections) = -7.05 eV/atom
V = 15.95 A^3/atom
ΔE_f (raw) = 2.441 eV per formula unit

=====

8.
DFT (PBE) results for crystalline CaBiI2O at its relaxed geometry.

Lattice parameters (Å, degrees): 6.422 6.422 4.348 90.00 90.00 90.00
Fractional coordinates of all 5 atoms:
I1 0.500 0.000 0.000
Ca1 0.500 0.500 0.500
Bi1 0.000 0.000 0.000
I2 0.000 0.500 0.000
O1 0.000 0.000 0.500

Properties
Total DFT energy (no corrections) = -3.39 eV/atom
V = 35.87 A^3/atom
ΔE_f (raw) = -3.015 eV per formula unit